one:
The following is a DFT calculation (PBE) of Mo5Rh3 after structural relaxation.

abc: 7.845 7.902 3.911
angles: 90.00 90.00 90.00
Space group Cmmm (No. 65)
Inequivalent atoms, fractional coordinates:
Mo 0.000 0.000 0.000 [2 per cell]
Mo 0.000 0.255 0.500 [4 per cell]
Mo 0.250 0.250 0.000 [4 per cell]
Rh 0.000 0.500 0.000 [2 per cell]
Rh 0.248 0.500 0.500 [4 per cell]

***

two:
The following is a DFT calculation (PBE) of Mo5Rh3 after structural relaxation.

abc: 7.6935 7.6935 4.8839
angles: 90.00 90.00 120.00
Space group P6_3/mcm (No. 193)
Inequivalent atoms, fractional coordinates:
Mo 0.0000 0.2104 0.2500 [6 per cell]
Mo 0.3333 0.6667 0.0000 [4 per cell]
Rh 0.0000 0.4109 0.7500 [6 per cell]

***

three:
The following is a DFT calculation (PBE) of Mo5Rh3 after structural relaxation.

abc: 4.971 7.165 7.466
angles: 88.87 74.87 75.41
Space group P-1 (No. 2)
Inequivalent atoms, fractional coordinates:
Mo 0.017 0.185 0.177 [2 per cell]
Mo 0.194 0.796 0.143 [2 per cell]
Mo 0.251 0.000 0.504 [2 per cell]
Mo 0.302 0.352 0.675 [2 per cell]
Mo 0.464 0.326 0.294 [2 per cell]
Rh 0.125 0.645 0.486 [2 per cell]
Rh 0.265 0.448 0.009 [2 per cell]
Rh 0.382 0.030 0.859 [2 per cell]

***

Most stable pick: one. Distance to second place: 103 meV/atom.

***

one:
The following is a DFT calculation (PBE) of MoRh5 after structural relaxation.

abc: 5.0199 5.0199 4.3538
angles: 90.00 90.00 120.00
Space group P6/mmm (No. 191)
Inequivalent atoms, fractional coordinates:
Mo 0.0000 0.0000 0.0000 [1 per cell]
Rh 0.0000 0.5000 0.5000 [3 per cell]
Rh 0.3333 0.6667 0.0000 [2 per cell]

***

two:
The following is a DFT calculation (PBE) of MoRh5 after structural relaxation.

abc: 2.739 2.739 11.550
angles: 90.00 90.00 90.00
Space group P4/mmm (No. 123)
Inequivalent atoms, fractional coordinates:
Mo 0.000 0.000 0.000 [1 per cell]
Rh 0.000 0.000 0.338 [2 per cell]
Rh 0.500 0.500 0.165 [2 per cell]
Rh 0.500 0.500 0.500 [1 per cell]

***

three:
The following is a DFT calculation (PBE) of MoRh5 after structural relaxation.

abc: 4.394 2.760 14.234
angles: 90.00 90.00 90.00
Space group Amm2 (No. 38)
Inequivalent atoms, fractional coordinates:
Mo 0.000 0.000 0.000 [2 per cell]
Rh 0.000 0.000 0.333 [2 per cell]
Rh 0.000 0.000 0.662 [2 per cell]
Rh 0.500 0.000 0.111 [2 per cell]
Rh 0.500 0.000 0.443 [2 per cell]
Rh 0.500 0.000 0.777 [2 per cell]

***

four:
The following is a DFT calculation (PBE) of MoRh5 after structural relaxation.

abc: 7.130 7.130 7.130
angles: 90.00 90.00 90.00
Space group F-43m (No. 216)
Inequivalent atoms, fractional coordinates:
Mo 0.000 0.000 0.000 [4 per cell]
Rh 0.125 0.125 0.625 [16 per cell]
Rh 0.250 0.250 0.250 [4 per cell]

***

Most stable pick: three. Distance to second place: 66 meV/atom.

***

one:
The following is a DFT calculation (PBE) of MoRh5 after structural relaxation.

abc: 10.076 2.738 6.467
angles: 90.00 104.42 90.00
Space group Cm (No. 8)
Inequivalent atoms, fractional coordinates:
Mo 0.000 0.000 0.000 [2 per cell]
Rh 0.053 0.000 0.613 [2 per cell]
Rh 0.164 0.500 0.331 [2 per cell]
Rh 0.220 0.500 0.947 [2 per cell]
Rh 0.335 0.000 0.677 [2 per cell]
Rh 0.390 0.000 0.276 [2 per cell]

***

two:
The following is a DFT calculation (PBE) of MoRh5 after structural relaxation.

abc: 3.866 11.504 3.879
angles: 90.00 90.00 90.00
Space group Cmmm (No. 65)
Inequivalent atoms, fractional coordinates:
Mo 0.000 0.000 0.000 [2 per cell]
Rh 0.000 0.165 0.500 [4 per cell]
Rh 0.000 0.339 0.000 [4 per cell]
Rh 0.000 0.500 0.500 [2 per cell]

***

three:
The following is a DFT calculation (PBE) of MoRh5 after structural relaxation.

abc: 4.7643 4.7643 4.3801
angles: 90.00 90.00 120.00
Space group P-62m (No. 189)
Inequivalent atoms, fractional coordinates:
Mo 0.0000 0.0000 0.0000 [1 per cell]
Rh 0.0000 0.6642 0.5000 [3 per cell]
Rh 0.3333 0.6667 0.0000 [2 per cell]

***

Most stable pick: two. Distance to second place: 9 meV/atom.

***

one:
The following is a DFT calculation (PBE) of MoRu2Rh after structural relaxation.

abc: 3.250 3.250 5.584
angles: 90.00 90.00 90.00
Space group P4/mmm (No. 123)
Inequivalent atoms, fractional coordinates:
Mo 0.000 0.000 0.000 [1 per cell]
Ru 0.500 0.500 0.251 [2 per cell]
Rh 0.000 0.000 0.500 [1 per cell]

***

two:
The following is a DFT calculation (PBE) of MoRu2Rh after structural relaxation.

abc: 3.277 3.277 5.533
angles: 90.00 90.00 90.00
Space group P4mm (No. 99)
Inequivalent atoms, fractional coordinates:
Mo 0.000 0.000 0.000 [1 per cell]
Ru 0.000 0.000 0.523 [1 per cell]
Ru 0.500 0.500 0.746 [1 per cell]
Rh 0.500 0.500 0.256 [1 per cell]

***

Most stable pick: one. Distance to second place: 28 meV/atom.